[1]
VASP calculation (meta-GGA SCAN) on CrSb at its PBEsol-relaxed geometry.

## Properties
Space group = P6_3/mmc
Total magnetic moment = 4.32 μB per cell
ΔE_f (raw) = 0.897 eV/atom
Total DFT energy (no corrections) = -26.93 eV per atom

Cell: 4.942 4.942 7.295 Å, 90.00 90.00 120.00°
Element x y z (fractional)
Cr  0.333  0.667  0.118
Cr  0.333  0.667  0.382
Cr  0.667  0.333  0.618
Cr  0.667  0.333  0.882
Sb  0.000  0.000  0.250
Sb  0.000  0.000  0.750
Sb  0.333  0.667  0.750
Sb  0.667  0.333  0.250

=====

[2]
VASP calculation (meta-GGA SCAN) on Sc2ZnSe at its PBEsol-relaxed geometry.

## Properties
Space group = Pmmm
Total magnetic moment = 0.00 μB per cell
Excess energy over the best structure of this formula in the dataset = 0.298 eV per atom
ΔE_f (raw) = -0.731 eV/atom
Total DFT energy (no corrections) = -16.25 eV per atom

Cell: 3.342 4.549 4.841 Å, 90.00 90.00 90.00°
Element x y z (fractional)
Sc  0.000  0.000  0.000
Sc  0.000  0.500  0.500
Zn  0.500  0.000  0.500
Se  0.500  0.500  0.000

=====

[3]
VASP calculation (meta-GGA SCAN) on BaSiIr at its PBEsol-relaxed geometry.

## Properties
Space group = P-6m2
Total magnetic moment = 0.00 μB per cell
ΔE_f (raw) = -0.617 eV/atom
Total DFT energy (no corrections) = -40.84 eV per atom

Cell: 4.085 4.085 5.053 Å, 90.00 90.00 120.00°
Element x y z (fractional)
Ba  0.000  0.000  0.000
Si  0.667  0.333  0.500
Ir  0.333  0.667  0.500

=====

Copy entry 3 word for word.
VASP calculation (meta-GGA SCAN) on BaSiIr at its PBEsol-relaxed geometry.

## Properties
Space group = P-6m2
Total magnetic moment = 0.00 μB per cell
ΔE_f (raw) = -0.617 eV/atom
Total DFT energy (no corrections) = -40.84 eV per atom

Cell: 4.085 4.085 5.053 Å, 90.00 90.00 120.00°
Element x y z (fractional)
Ba  0.000  0.000  0.000
Si  0.667  0.333  0.500
Ir  0.333  0.667  0.500

=====

- Among the records above, which one has the lowest ΔE_f (raw)?
  Sc2ZnSe

=====

- Among the records above, which one has the highest total magnetic moment?
  CrSb